Entry 1:
# PBE Zr2TiPdO, optimized geometry
# ρ   7.19 g/cm³
# ΔE_f (raw)   -1.257 eV per atom
# E   -8.286 eV/atom
# Space group   P4/mmm
data_Zr2TiPdO
_chemical_formula_sum 'Zr2 Ti1 Pd1 O1'
_cell_length_a 4.497
_cell_length_b 4.497
_cell_length_c 4.028
_cell_angle_alpha 90.00
_cell_angle_beta 90.00
_cell_angle_gamma 90.00
_symmetry_space_group_name_H-M 'P 1'
_symmetry_Int_Tables_number 1
_symmetry_space_group_name_Hall 'P 1'
loop_
_atom_site_label
_atom_site_fract_x
_atom_site_fract_y
_atom_site_fract_z
O1 0.000 0.000 0.000
Zr1 0.000 0.500 0.000
Zr2 0.500 0.000 0.000
Pd1 0.500 0.500 0.500
Ti1 0.000 0.000 0.500

Entry 2:
# PBE Na3CaBe, optimized geometry
# ΔE_f   1.161 eV per atom
# ρ   0.67 g/cm³
# E   -0.776 eV/atom
# Space group   Pm-3m
# Offset from the most stable computed form   644 meV per atom
data_Na3CaBe
_chemical_formula_sum 'Na3 Ca1 Be1'
_cell_length_a 6.648
_cell_length_b 6.648
_cell_length_c 6.648
_cell_angle_alpha 90.00
_cell_angle_beta 90.00
_cell_angle_gamma 90.00
_symmetry_space_group_name_H-M 'P 1'
_symmetry_Int_Tables_number 1
_symmetry_space_group_name_Hall 'P 1'
loop_
_atom_site_label
_atom_site_fract_x
_atom_site_fract_y
_atom_site_fract_z
Na1 0.000 0.500 0.000
Na2 0.000 0.000 0.500
Na3 0.500 0.000 0.000
Ca1 0.000 0.000 0.000
Be1 0.500 0.500 0.500

Entry 3:
# PBE CrInPb2, optimized geometry
# ΔE_f   0.404 eV per atom
# ρ   9.04 g/cm³
# E   -4.541 eV/atom
# Space group   F-43m
data_CrInPb2
_chemical_formula_sum 'Cr1 In1 Pb2'
_cell_length_a 5.325
_cell_length_b 5.325
_cell_length_c 5.325
_cell_angle_alpha 60.00
_cell_angle_beta 60.00
_cell_angle_gamma 60.00
_symmetry_space_group_name_H-M 'P 1'
_symmetry_Int_Tables_number 1
_symmetry_space_group_name_Hall 'P 1'
loop_
_atom_site_label
_atom_site_fract_x
_atom_site_fract_y
_atom_site_fract_z
Cr1 0.500 0.500 0.500
In1 0.250 0.250 0.250
Pb1 0.000 0.000 0.000
Pb2 0.750 0.750 0.750

Entry 4:
# PBE Sc2NbPb, optimized geometry
# ΔE_f   0.203 eV per atom
# ρ   6.59 g/cm³
# E   -6.407 eV/atom
# Space group   R-3m
data_Sc2NbPb
_chemical_formula_sum 'Sc2 Nb1 Pb1'
_cell_length_a 10.938
_cell_length_b 10.938
_cell_length_c 10.938
_cell_angle_alpha 17.06
_cell_angle_beta 17.06
_cell_angle_gamma 17.06
_symmetry_space_group_name_H-M 'P 1'
_symmetry_Int_Tables_number 1
_symmetry_space_group_name_Hall 'P 1'
loop_
_atom_site_label
_atom_site_fract_x
_atom_site_fract_y
_atom_site_fract_z
Pb1 0.000 0.000 0.000
Sc1 0.905 0.905 0.905
Sc2 0.095 0.095 0.095
Nb1 0.500 0.500 0.500